A plane-wave DFT calculation with GGA-PBEsol was carried out for crystalline CaPrAl3O7 at its relaxed geometry.

```
CaPrAl3O7
1.0
-1.5100 2.4160 4.2462
1.2420 -6.4653 4.1202
7.2888 2.3789 1.2384
Pr O Al Ca
2 14 6 2
direct
0.4923 0.8374 0.1626
0.4923 0.1626 0.8374
0.1953 0.8410 0.4062
0.7973 0.6629 0.9124
0.7973 0.9124 0.6629
0.1953 0.4062 0.8410
0.1953 0.1590 0.5938
0.1953 0.5938 0.1590
0.7973 0.3371 0.0876
0.1909 0.5000 0.5000
0.3017 0.1385 0.1385
0.8172 0.0000 0.0000
0.7021 0.6427 0.3573
0.7021 0.3573 0.6427
0.7973 0.0876 0.3371
0.3017 0.8615 0.8615
0.9928 0.5000 0.0000
0.9613 0.8531 0.8531
0.9613 0.1469 0.1469
0.0418 0.3587 0.6413
0.9928 0.0000 0.5000
0.0418 0.6413 0.3587
0.5188 0.6585 0.6585
0.5188 0.3415 0.3415
```

## Properties
- Volume: 12.85 A^3/atom
- Spin magnetization: 0.0000 μB/atom
- ΔE_f (raw): -37.734 eV/f.u.